Record 1
# KMn2Sb, optimized geometry, DFT PBE
data_KMn2Sb
_cell_length_a 5.557
_cell_length_b 5.557
_cell_length_c 5.557
_cell_angle_alpha 131.91
_cell_angle_beta 131.91
_cell_angle_gamma 70.38
_symmetry_space_group_name_H-M 'P 1'
_symmetry_Int_Tables_number 1
loop_
_symmetry_equiv_pos_as_xyz
'x,y,z'
loop_
_atom_site_label
_atom_site_type_symbol
_atom_site_fract_x
_atom_site_fract_y
_atom_site_fract_z
_atom_site_occupancy
K1 K 0.000 0.000 0.000 1
Mn1 Mn 0.250 0.750 0.500 1
Mn2 Mn 0.500 0.500 0.000 1
Sb1 Sb 0.750 0.250 0.500 1
# space group: No. 119
# total magnetic moment: 8.25 μB/f.u.
# VASP energy: -5.1810 eV per atom
# V: 93 Å³/cell


Record 2
# KMnSbSe3, optimized geometry, DFT PBE
data_KMnSbSe3
_cell_length_a 9.395
_cell_length_b 4.221
_cell_length_c 9.820
_cell_angle_alpha 90.00
_cell_angle_beta 103.93
_cell_angle_gamma 90.00
_symmetry_space_group_name_H-M 'P 1'
_symmetry_Int_Tables_number 1
loop_
_symmetry_equiv_pos_as_xyz
'x,y,z'
loop_
_atom_site_label
_atom_site_type_symbol
_atom_site_fract_x
_atom_site_fract_y
_atom_site_fract_z
_atom_site_occupancy
K1 K 0.182 0.250 0.226 1
K2 K 0.818 0.750 0.774 1
Mn1 Mn 0.093 0.250 0.606 1
Mn2 Mn 0.907 0.750 0.394 1
Sb1 Sb 0.344 0.750 0.866 1
Sb2 Sb 0.656 0.250 0.134 1
Se1 Se 0.135 0.250 0.869 1
Se2 Se 0.189 0.750 0.507 1
Se3 Se 0.434 0.750 0.142 1
Se4 Se 0.566 0.250 0.858 1
Se5 Se 0.811 0.250 0.493 1
Se6 Se 0.865 0.750 0.131 1
# space group: No. 11
# total magnetic moment: 5.00 μB/f.u.
# VASP energy: -4.7448 eV per atom
# V: 378 Å³/cell


Record 3
# KMn2SiSb, optimized geometry, DFT PBE
data_KMn2SiSb
_cell_length_a 4.439
_cell_length_b 4.439
_cell_length_c 5.242
_cell_angle_alpha 90.00
_cell_angle_beta 90.00
_cell_angle_gamma 90.00
_symmetry_space_group_name_H-M 'P 1'
_symmetry_Int_Tables_number 1
loop_
_symmetry_equiv_pos_as_xyz
'x,y,z'
loop_
_atom_site_label
_atom_site_type_symbol
_atom_site_fract_x
_atom_site_fract_y
_atom_site_fract_z
_atom_site_occupancy
K1 K 0.000 0.000 0.000 1
Mn1 Mn 0.000 0.500 0.000 1
Mn2 Mn 0.500 0.000 0.000 1
Si1 Si 0.000 0.000 0.500 1
Sb1 Sb 0.500 0.500 0.500 1
# space group: No. 123
# total magnetic moment: 0.41 μB/f.u.
# VASP energy: -3.2188 eV per atom
# V: 103 Å³/cell


Record 4
# KMn2SiSb, optimized geometry, DFT PBE
data_KMn2SiSb
_cell_length_a 4.314
_cell_length_b 4.314
_cell_length_c 5.839
_cell_angle_alpha 90.00
_cell_angle_beta 90.00
_cell_angle_gamma 90.00
_symmetry_space_group_name_H-M 'P 1'
_symmetry_Int_Tables_number 1
loop_
_symmetry_equiv_pos_as_xyz
'x,y,z'
loop_
_atom_site_label
_atom_site_type_symbol
_atom_site_fract_x
_atom_site_fract_y
_atom_site_fract_z
_atom_site_occupancy
K1 K 0.000 0.000 0.000 1
Mn1 Mn 0.000 0.500 0.000 1
Mn2 Mn 0.500 0.000 0.000 1
Si1 Si 0.500 0.500 0.500 1
Sb1 Sb 0.000 0.000 0.500 1
# space group: No. 123
# total magnetic moment: 0.53 μB/f.u.
# VASP energy: -3.0981 eV per atom
# V: 109 Å³/cell


Record 5
# KMnSb2Te, optimized geometry, DFT PBE
data_KMnSb2Te
_cell_length_a 5.815
_cell_length_b 5.815
_cell_length_c 5.869
_cell_angle_alpha 90.00
_cell_angle_beta 90.00
_cell_angle_gamma 90.00
_symmetry_space_group_name_H-M 'P 1'
_symmetry_Int_Tables_number 1
loop_
_symmetry_equiv_pos_as_xyz
'x,y,z'
loop_
_atom_site_label
_atom_site_type_symbol
_atom_site_fract_x
_atom_site_fract_y
_atom_site_fract_z
_atom_site_occupancy
K1 K 0.000 0.000 0.000 1
Mn1 Mn 0.500 0.500 0.500 1
Sb1 Sb 0.000 0.500 0.000 1
Sb2 Sb 0.500 0.000 0.000 1
Te1 Te 0.000 0.000 0.500 1
# space group: No. 123
# total magnetic moment: 4.73 μB/f.u.
# VASP energy: -2.9445 eV per atom
# V: 198 Å³/cell


Record 6
# KMnSbTe2, optimized geometry, DFT PBE
data_KMnSbTe2
_cell_length_a 5.942
_cell_length_b 5.942
_cell_length_c 5.800
_cell_angle_alpha 90.00
_cell_angle_beta 90.00
_cell_angle_gamma 90.00
_symmetry_space_group_name_H-M 'P 1'
_symmetry_Int_Tables_number 1
loop_
_symmetry_equiv_pos_as_xyz
'x,y,z'
loop_
_atom_site_label
_atom_site_type_symbol
_atom_site_fract_x
_atom_site_fract_y
_atom_site_fract_z
_atom_site_occupancy
K1 K 0.000 0.000 0.000 1
Mn1 Mn 0.500 0.500 0.500 1
Sb1 Sb 0.000 0.000 0.500 1
Te1 Te 0.000 0.500 0.000 1
Te2 Te 0.500 0.000 0.000 1
# space group: No. 123
# total magnetic moment: 4.73 μB/f.u.
# VASP energy: -2.8937 eV per atom
# V: 205 Å³/cell


Record 7
# K2MnSbTe4, optimized geometry, DFT PBE
data_K2MnSbTe4
_cell_length_a 9.058
_cell_length_b 9.058
_cell_length_c 9.136
_cell_angle_alpha 119.24
_cell_angle_beta 119.24
_cell_angle_gamma 90.04
_symmetry_space_group_name_H-M 'P 1'
_symmetry_Int_Tables_number 1
loop_
_symmetry_equiv_pos_as_xyz
'x,y,z'
loop_
_atom_site_label
_atom_site_type_symbol
_atom_site_fract_x
_atom_site_fract_y
_atom_site_fract_z
_atom_site_occupancy
K1 K 0.000 0.000 0.000 1
K2 K 0.000 0.000 0.500 1
K3 K 0.000 0.500 0.000 1
K4 K 0.500 0.000 0.500 1
Mn1 Mn 0.500 0.500 0.000 1
Mn2 Mn 0.500 0.500 0.500 1
Sb1 Sb 0.000 0.500 0.500 1
Sb2 Sb 0.500 0.000 0.000 1
Te1 Te 0.280 0.713 0.974 1
Te2 Te 0.283 0.303 0.518 1
Te3 Te 0.287 0.720 0.526 1
Te4 Te 0.303 0.283 0.018 1
Te5 Te 0.697 0.717 0.982 1
Te6 Te 0.713 0.280 0.474 1
Te7 Te 0.717 0.697 0.482 1
Te8 Te 0.720 0.287 0.026 1
# space group: No. 15
# total magnetic moment: 3.98 μB/f.u.
# VASP energy: -3.9604 eV per atom
# V: 542 Å³/cell


Record 8
# KMnSb2Te, optimized geometry, DFT PBE
data_KMnSb2Te
_cell_length_a 5.168
_cell_length_b 5.168
_cell_length_c 5.709
_cell_angle_alpha 90.00
_cell_angle_beta 90.00
_cell_angle_gamma 90.00
_symmetry_space_group_name_H-M 'P 1'
_symmetry_Int_Tables_number 1
loop_
_symmetry_equiv_pos_as_xyz
'x,y,z'
loop_
_atom_site_label
_atom_site_type_symbol
_atom_site_fract_x
_atom_site_fract_y
_atom_site_fract_z
_atom_site_occupancy
K1 K 0.000 0.000 0.000 1
Mn1 Mn 0.500 0.500 0.500 1
Sb1 Sb 0.000 0.500 0.500 1
Sb2 Sb 0.500 0.000 0.500 1
Te1 Te 0.500 0.500 0.000 1
# space group: No. 123
# total magnetic moment: 2.84 μB/f.u.
# VASP energy: -4.3674 eV per atom
# V: 152 Å³/cell


| no. | formation energy (no corrections) (meV/atom) |
| --- | --- |
| 1 | 708.7 |
| 2 | -604.3 |
| 3 | 2577.7 |
| 4 | 2698.3 |
| 5 | 1386.2 |
| 6 | 1240.9 |
| 7 | -453.7 |
| 8 | -36.7 |